## Li2TiB2Rh5 (PBE)

Data for a relaxed structure of Li2TiB2Rh5.

abc: 2.906 9.389 9.389
angles: 90.00 90.00 90.00
Positions (direct):
Rh 0.500 0.215 0.071
Rh 0.500 0.500 0.000
Rh 0.500 0.715 0.429
Rh 0.500 0.285 0.571
Rh 0.500 0.429 0.285
Rh 0.500 0.785 0.929
Rh 0.500 0.000 0.500
Rh 0.500 0.071 0.785
Rh 0.500 0.571 0.715
Rh 0.500 0.929 0.215
B 0.000 0.624 0.876
B 0.000 0.876 0.376
B 0.000 0.124 0.624
B 0.000 0.376 0.124
Li 0.000 0.675 0.175
Li 0.000 0.825 0.675
Li 0.000 0.175 0.325
Li 0.000 0.325 0.825
Ti 0.000 0.500 0.500
Ti 0.000 0.000 0.000

## Properties
Space-group type = P4/mbm (127)
Formation energy = -4.81 eV per formula unit
M_tot = 0.00 μB/f.u.